DFT (PBE) results for crystalline Th6Os3Rh2S at its relaxed geometry.

Unit cell a=4.1168 b=8.2927 c=9.1878 alpha=102.42 beta=102.95 gamma=90.00
Atoms (fractional coordinates):
Th (0.9980, 0.2629, 0.9960)
Th (0.0020, 0.7371, 0.0040)
Th (0.3290, 0.9200, 0.6581)
S (0.5000, 0.0000, 0.0000)
Rh (0.8335, 0.6686, 0.6670)
Th (0.6710, 0.0800, 0.3419)
Th (0.3343, 0.4120, 0.6686)
Th (0.6657, 0.5880, 0.3314)
Os (0.5000, 0.5000, 0.0000)
Os (0.8386, 0.1659, 0.6772)
Rh (0.1665, 0.3314, 0.3330)
Os (0.1614, 0.8341, 0.3228)

## Properties
ΔE_f (raw)	-813	kJ/mol of formula units